Material: CrMo2Pb
Method: DFT, meta-GGA SCAN
State: PBEsol geometry

Results
For the size of the total moment, the calculation gives 2.350 μB per formula unit. The energy relative to the elements is 228 kJ/mol of formula units. For the density of states at the Fermi level, the calculation gives 2.84 states/eV/cell.

POSCAR file:
```
CrMo2Pb
1.0
1.621 -2.374 0.000
1.621 2.374 0.000
0.000 0.000 8.629
Cr Mo Pb
1 2 1
Direct
0.000 0.000 0.000 Cr
0.000 0.000 0.546 Mo
0.500 0.500 0.786 Mo
0.500 0.500 0.264 Pb
```

Material: Nb3RuN
Method: DFT, meta-GGA SCAN
State: PBEsol geometry

Results
For the size of the total moment, the calculation gives 0.000 μB per formula unit. The calculation puts the formation energy from raw total energies at 10.06 eV per formula unit. For the density of states at the Fermi level, the calculation gives 5.77 states/eV/cell.

POSCAR file:
```
Nb3RuN
1.0
4.705 0.000 0.000
0.000 4.705 0.000
0.000 0.000 4.705
Nb Ru N
3 1 1
Direct
0.000 0.000 0.500 Nb
0.000 0.500 0.000 Nb
0.500 0.000 0.000 Nb
0.000 0.000 0.000 Ru
0.500 0.500 0.500 N
```

Material: Ta11Mo5
Method: DFT, meta-GGA SCAN
State: PBEsol geometry

Results
For the size of the total moment, the calculation gives 0.000 μB per formula unit. The energy relative to the elements is -142 kJ/mol of formula units. For the density of states at the Fermi level, the calculation gives 17.38 states/eV/cell.

POSCAR file:
```
Ta11Mo5
1.0
6.461 0.000 0.000
0.000 6.432 0.000
-0.055 0.000 6.462
Ta Mo
11 5
Direct
0.000 0.000 0.000 Ta
0.000 0.500 0.004 Ta
0.001 0.500 0.514 Ta
0.258 0.248 0.260 Ta
0.258 0.752 0.260 Ta
0.259 0.247 0.755 Ta
0.259 0.753 0.755 Ta
0.511 0.000 0.002 Ta
0.513 0.500 0.516 Ta
0.753 0.247 0.261 Ta
0.753 0.753 0.261 Ta
0.005 0.000 0.508 Mo
0.507 0.500 0.008 Mo
0.511 0.000 0.510 Mo
0.755 0.248 0.757 Mo
0.755 0.752 0.757 Mo
```